No. 1
Density functional theory data (GGA-PBE) for RbTl8Hg2 after structural relaxation.

POSCAR file:
```
RbTl8Hg2
1.0
9.260 -3.397 0.000
9.260 3.397 0.000
-1.778 0.000 5.849
Rb Tl Hg
1 8 2
direct
0.000 0.000 0.000
0.096 0.616 0.368
0.324 0.324 0.835
0.384 0.904 0.632
0.500 0.500 0.250
0.500 0.500 0.750
0.616 0.096 0.368
0.676 0.676 0.165
0.904 0.384 0.632
0.204 0.204 0.199
0.796 0.796 0.801
```

Offset from the most stable computed form ... 0.000 eV per atom



No. 2
Density functional theory data (GGA-PBE) for BeCdRe2 after structural relaxation.

POSCAR file:
```
BeCdRe2
1.0
3.107 0.000 0.000
0.000 4.271 0.000
0.000 0.000 4.520
Be Cd Re
1 1 2
direct
0.000 0.000 0.000
0.500 0.500 0.000
0.000 0.500 0.500
0.500 0.000 0.500
```

Offset from the most stable computed form ... 0.413 eV per atom



No. 3
Density functional theory data (GGA-PBE) for TmMgGa2Rh2 after structural relaxation.

POSCAR file:
```
TmMgGa2Rh2
1.0
4.323 0.000 0.000
-2.161 3.744 0.000
0.000 0.000 6.479
Tm Mg Ga Rh
1 1 2 2
direct
0.000 0.000 0.000
0.000 0.000 0.500
0.333 0.667 0.735
0.667 0.333 0.265
0.333 0.667 0.330
0.667 0.333 0.670
```



Computed values of raw total energy (unit: eV/atom) for the preceding records, in sequence: -1.8767, -6.8126, -5.1948.